Entry 1:
A geometry-optimized Na2Zn3CuGe4 structure. Source: the Alexandria database, functional PBE.

Cell lengths 4.0819, 4.0819, 11.4402 Å; angles 90.00, 90.00, 90.00 degrees
Atoms (fractional coordinates):
Na 0.0000 0.5000 0.2344
Na 0.5000 0.0000 0.7656
Zn 0.0000 0.0000 0.0000
Zn 0.0000 0.5000 0.6505
Zn 0.5000 0.0000 0.3495
Cu 0.5000 0.5000 0.0000
Ge 0.0000 0.0000 0.5000
Ge 0.0000 0.5000 0.8676
Ge 0.5000 0.0000 0.1324
Ge 0.5000 0.5000 0.5000

Summary:
Formation enthalpy at 0 K ... -0.04 eV/atom



Entry 2:
A geometry-optimized Sr2PPt2 structure. Source: the Alexandria database, functional PBE.

Cell lengths 5.5677, 5.5677, 5.5677 Å; angles 114.78, 114.78, 99.31 degrees
Atoms (fractional coordinates):
Sr 0.2500 0.7500 0.5000
Sr 0.7500 0.2500 0.5000
P 0.0000 0.0000 0.0000
Pt 0.3209 0.3209 0.0000
Pt 0.6791 0.6791 0.0000

Summary:
Formation enthalpy at 0 K ... -0.73 eV/atom



Entry 3:
A geometry-optimized KAsBr3 structure. Source: the Alexandria database, functional PBE.

Cell lengths 6.0992, 6.0992, 6.0992 Å; angles 90.00, 90.00, 90.00 degrees
Atoms (fractional coordinates):
K 0.0000 0.0000 0.0000
As 0.5000 0.5000 0.5000
Br 0.0000 0.0000 0.5000
Br 0.0000 0.5000 0.0000
Br 0.5000 0.0000 0.0000

Summary:
ΔE_f (raw) ... 0.22 eV per atom



Entry 4:
A geometry-optimized SrScZn2F structure. Source: the Alexandria database, functional PBE.

Cell lengths 5.5368, 5.5368, 4.0266 Å; angles 90.00, 90.00, 90.00 degrees
Atoms (fractional coordinates):
Sr 0.0000 0.0000 0.0000
Sc 0.5000 0.5000 0.0000
Zn 0.0000 0.5000 0.5000
Zn 0.5000 0.0000 0.5000
F 0.5000 0.5000 0.5000

Summary:
ΔE_f (raw) ... -0.77 eV per atom



Entry 5:
A geometry-optimized LiTh2Sn3Pd4 structure. Source: the Alexandria database, functional PBE.

Cell lengths 4.5519, 4.5519, 10.4770 Å; angles 90.00, 90.00, 90.00 degrees
Atoms (fractional coordinates):
Li 0.0000 0.0000 0.0000
Th 0.0000 0.5000 0.7383
Th 0.5000 0.0000 0.2617
Sn 0.0000 0.5000 0.3649
Sn 0.5000 0.0000 0.6351
Sn 0.5000 0.5000 0.0000
Pd 0.0000 0.0000 0.5000
Pd 0.0000 0.5000 0.1204
Pd 0.5000 0.0000 0.8796
Pd 0.5000 0.5000 0.5000

Summary:
Formation enthalpy at 0 K ... -0.68 eV/atom



Entry 6:
A geometry-optimized Sr3AcO structure. Source: the Alexandria database, functional PBE.

Cell lengths 5.5687, 5.5687, 5.5687 Å; angles 90.00, 90.00, 90.00 degrees
Atoms (fractional coordinates):
Sr 0.0000 0.0000 0.5000
Sr 0.0000 0.5000 0.0000
Sr 0.5000 0.0000 0.0000
Ac 0.5000 0.5000 0.5000
O 0.0000 0.0000 0.0000

Summary:
ΔE_f (raw) ... -0.76 eV per atom



| no. | theoretical density (g/cm³) |
| --- | --- |
| 1 | 5.2 |
| 2 | 7.6 |
| 3 | 2.6 |
| 4 | 3.8 |
| 5 | 9.6 |
| 6 | 4.9 |